Density functional theory data (PBE) for a geometry-optimized RbC3 structure.

Results
- Formation energy from the elements: 2.61 eV per atom
- Energy above the lowest structure with this stoichiometry: 7.48 eV per formula unit
- Fermi-level density of states: 6.3 states/eV/cell
- VASP energy: -4.5474 eV per atom

Unit cell a=2.9666 b=2.9666 c=18.1891 alpha=90.00 beta=90.00 gamma=120.00
Space group R-3m (No. 166, hexagonal axes)
Unique sites:
Rb (0.0000, 0.0000, 0.0000) [3 per cell]
C (0.0000, 0.0000, 0.2028) [6 per cell]
C (0.0000, 0.0000, 0.5000) [3 per cell]

Density functional theory data (PBE) for a geometry-optimized Rb3C5 structure.

Results
- Formation energy from the elements: 0.84 eV per atom
- Energy above the lowest structure with this stoichiometry: 0.00 eV per formula unit
- Fermi-level density of states: 6.8 states/eV/cell
- VASP energy: -5.2828 eV per atom

Unit cell a=4.4299 b=4.4299 c=11.8259 alpha=90.00 beta=90.00 gamma=90.00
Space group P4/mmm (No. 123)
Unique sites:
Rb (0.0000, 0.0000, 0.0000) [1 per cell]
Rb (0.5000, 0.5000, 0.3058) [2 per cell]
C (0.0000, 0.0000, 0.3888) [2 per cell]
C (0.0000, 0.0000, 0.5000) [1 per cell]
C (0.5000, 0.5000, 0.0534) [2 per cell]

Density functional theory data (PBE) for a geometry-optimized Rb2C structure.

Results
- Formation energy from the elements: 1.43 eV per atom
- Energy above the lowest structure with this stoichiometry: 0.01 eV per formula unit
- Fermi-level density of states: 1.7 states/eV/cell
- VASP energy: -2.2900 eV per atom

Unit cell a=7.6413 b=7.6413 c=7.6413 alpha=90.00 beta=90.00 gamma=90.00
Space group Fm-3m (No. 225)
Unique sites:
Rb (0.2500, 0.2500, 0.2500) [8 per cell]
C (0.0000, 0.0000, 0.0000) [4 per cell]

Density functional theory data (PBE) for a geometry-optimized RbC structure.

Results
- Formation energy from the elements: 1.49 eV per atom
- Energy above the lowest structure with this stoichiometry: 2.39 eV per formula unit
- Fermi-level density of states: 2.6 states/eV/cell
- VASP energy: -3.6070 eV per atom

Unit cell a=2.9689 b=2.9689 c=28.5486 alpha=90.00 beta=90.00 gamma=120.00
Space group R-3m (No. 166, hexagonal axes)
Unique sites:
Rb (0.0000, 0.0000, 0.0857) [6 per cell]
C (0.0000, 0.0000, 0.3333) [6 per cell]

Density functional theory data (PBE) for a geometry-optimized RbC structure.

Results
- Formation energy from the elements: 2.63 eV per atom
- Energy above the lowest structure with this stoichiometry: 4.66 eV per formula unit
- Fermi-level density of states: 3.3 states/eV/cell
- VASP energy: -2.4693 eV per atom

Unit cell a=6.3089 b=6.3089 c=6.3089 alpha=90.00 beta=90.00 gamma=90.00
Space group Pm-3m (No. 221)
Unique sites:
Rb (0.0000, 0.0000, 0.5000) [3 per cell]
C (0.0000, 0.5000, 0.5000) [3 per cell]

Density functional theory data (PBE) for a geometry-optimized Rb2C structure.

Results
- Formation energy from the elements: 1.43 eV per atom
- Energy above the lowest structure with this stoichiometry: 0.02 eV per formula unit
- Fermi-level density of states: 4.5 states/eV/cell
- VASP energy: -2.2883 eV per atom

Unit cell a=4.6964 b=4.6964 c=22.2755 alpha=90.00 beta=90.00 gamma=120.00
Space group R-3m (No. 166, hexagonal axes)
Unique sites:
Rb (0.0000, 0.0000, 0.2363) [6 per cell]
C (0.0000, 0.0000, 0.5000) [3 per cell]

Density functional theory data (PBE) for a geometry-optimized Rb3C4 structure.

Results
- Formation energy from the elements: 2.01 eV per atom
- Energy above the lowest structure with this stoichiometry: 1.16 eV per formula unit
- Fermi-level density of states: 1.2 states/eV/cell
- VASP energy: -3.6761 eV per atom

Unit cell a=7.9499 b=7.9499 c=4.0167 alpha=90.00 beta=90.00 gamma=120.00
Space group P6/mmm (No. 191)
Unique sites:
Rb (0.0000, 0.5000, 0.0000) [3 per cell]
C (0.0000, 0.0000, 0.3404) [2 per cell]
C (0.3333, 0.6667, 0.5000) [2 per cell]

Density functional theory data (PBE) for a geometry-optimized Rb4C structure.

Results
- Formation energy from the elements: 0.93 eV per atom
- Energy above the lowest structure with this stoichiometry: 0.24 eV per formula unit
- Fermi-level density of states: 6.8 states/eV/cell
- VASP energy: -1.6911 eV per atom

Unit cell a=4.1921 b=10.1683 c=13.4870 alpha=90.00 beta=90.00 gamma=90.00
Space group Immm (No. 71)
Unique sites:
Rb (0.0000, 0.0000, 0.1950) [4 per cell]
Rb (0.0000, 0.2583, 0.0000) [4 per cell]
C (0.0000, 0.5000, 0.5000) [2 per cell]

Density functional theory data (PBE) for a geometry-optimized Rb2C structure.

Results
- Formation energy from the elements: 1.54 eV per atom
- Energy above the lowest structure with this stoichiometry: 0.35 eV per formula unit
- Fermi-level density of states: 6.0 states/eV/cell
- VASP energy: -2.1780 eV per atom

Unit cell a=4.8329 b=4.8329 c=25.2584 alpha=90.00 beta=90.00 gamma=120.00
Space group P-3m1 (No. 164)
Unique sites:
Rb (0.0000, 0.0000, 0.0954) [2 per cell]
Rb (0.3333, 0.6667, 0.5606) [2 per cell]
Rb (0.3333, 0.6667, 0.7468) [2 per cell]
C (0.0000, 0.0000, 0.5000) [1 per cell]
C (0.3333, 0.6667, 0.8622) [2 per cell]

Density functional theory data (PBE) for a geometry-optimized Rb7C6 structure.

Results
- Formation energy from the elements: 1.04 eV per atom
- Fermi-level density of states: 13.9 states/eV/cell
- VASP energy: -3.7373 eV per atom

Unit cell a=12.4382 b=12.4382 c=17.1376 alpha=90.00 beta=90.00 gamma=120.00
Space group R-3m (No. 166, hexagonal axes)
Unique sites:
Rb (0.0000, 0.0000, 0.0000) [3 per cell]
Rb (0.1091, 0.2182, 0.7179) [18 per cell]
C (0.0000, 0.0000, 0.1728) [6 per cell]
C (0.0000, 0.0000, 0.3869) [6 per cell]
C (0.0000, 0.0000, 0.4601) [6 per cell]

Density functional theory data (PBE) for a geometry-optimized RbC7 structure.

Results
- Formation energy from the elements: 4.78 eV per atom
- Fermi-level density of states: 14.3 states/eV/cell
- VASP energy: -3.4088 eV per atom

Unit cell a=7.0517 b=7.0517 c=7.0517 alpha=90.00 beta=90.00 gamma=90.00
Space group Fm-3m (No. 225)
Unique sites:
Rb (0.0000, 0.0000, 0.0000) [4 per cell]
C (0.0000, 0.0000, 0.5000) [4 per cell]
C (0.0000, 0.2500, 0.2500) [24 per cell]

Density functional theory data (PBE) for a geometry-optimized Rb2C structure.

Results
- Formation energy from the elements: 1.42 eV per atom
- Energy above the lowest structure with this stoichiometry: 0.00 eV per formula unit
- Fermi-level density of states: 2.1 states/eV/cell
- VASP energy: -2.2947 eV per atom

Unit cell a=7.4355 b=7.4355 c=4.7667 alpha=90.00 beta=90.00 gamma=90.00
Space group P4_2/mnm (No. 136)
Unique sites:
Rb (0.1946, 0.1946, 0.0000) [4 per cell]
C (0.0000, 0.0000, 0.5000) [2 per cell]

Density functional theory data (PBE) for a geometry-optimized RbC structure.

Results
- Formation energy from the elements: 1.39 eV per atom
- Energy above the lowest structure with this stoichiometry: 2.19 eV per formula unit
- Fermi-level density of states: 4.3 states/eV/cell
- VASP energy: -3.7042 eV per atom

Unit cell a=2.8541 b=19.2100 c=5.0118 alpha=90.00 beta=90.00 gamma=90.00
Space group Cmmm (No. 65)
Unique sites:
Rb (0.0000, 0.0000, 0.0000) [2 per cell]
Rb (0.0000, 0.3432, 0.5000) [4 per cell]
C (0.0000, 0.2436, 0.0000) [4 per cell]
C (0.0000, 0.5000, 0.5000) [2 per cell]

Density functional theory data (PBE) for a geometry-optimized RbC structure.

Results
- Formation energy from the elements: 0.77 eV per atom
- Energy above the lowest structure with this stoichiometry: 0.95 eV per formula unit
- Fermi-level density of states: 1.5 states/eV/cell
- VASP energy: -4.3268 eV per atom

Unit cell a=2.7932 b=4.2114 c=8.7386 alpha=90.00 beta=90.00 gamma=90.00
Space group Pmma (No. 51)
Unique sites:
Rb (0.2500, 0.0000, 0.2328) [2 per cell]
C (0.2500, 0.5000, 0.9815) [2 per cell]

Density functional theory data (PBE) for a geometry-optimized RbC3 structure.

Results
- Formation energy from the elements: 2.03 eV per atom
- Energy above the lowest structure with this stoichiometry: 5.17 eV per formula unit
- Fermi-level density of states: 1.5 states/eV/cell
- VASP energy: -5.1251 eV per atom

Unit cell a=2.6931 b=4.7105 c=5.2136 alpha=90.00 beta=90.00 gamma=90.00
Space group Pmm2 (No. 25)
Unique sites:
Rb (0.0000, 0.0000, 0.0000) [1 per cell]
C (0.0000, 0.5000, 0.5061) [1 per cell]
C (0.5000, 0.0000, 0.5005) [1 per cell]
C (0.5000, 0.5000, 0.5058) [1 per cell]

Density functional theory data (PBE) for a geometry-optimized Rb5C7 structure.

Results
- Formation energy from the elements: 1.00 eV per atom
- VASP energy: -4.7858 eV per atom

Unit cell a=8.8125 b=8.8125 c=8.1844 alpha=90.00 beta=90.00 gamma=90.00
Space group I4mm (No. 107)
Unique sites:
Rb (0.0000, 0.0000, 0.0000) [2 per cell]
Rb (0.2237, 0.2237, 0.6402) [8 per cell]
C (0.0000, 0.0000, 0.4263) [2 per cell]
C (0.0000, 0.3499, 0.9111) [8 per cell]
C (0.0000, 0.5000, 0.4106) [4 per cell]

Density functional theory data (PBE) for a geometry-optimized RbC3 structure.

Results
- Formation energy from the elements: 2.15 eV per atom
- Energy above the lowest structure with this stoichiometry: 5.65 eV per formula unit
- Fermi-level density of states: 1.4 states/eV/cell
- VASP energy: -5.0058 eV per atom

Unit cell a=3.4199 b=3.4199 c=6.0972 alpha=90.00 beta=90.00 gamma=120.00
Space group P-6m2 (No. 187)
Unique sites:
Rb (0.0000, 0.0000, 0.0000) [1 per cell]
C (0.0000, 0.0000, 0.5000) [1 per cell]
C (0.3333, 0.6667, 0.3895) [2 per cell]

Density functional theory data (PBE) for a geometry-optimized RbC3 structure.

Results
- Formation energy from the elements: 4.10 eV per atom
- Energy above the lowest structure with this stoichiometry: 13.44 eV per formula unit
- Fermi-level density of states: 4.6 states/eV/cell
- VASP energy: -3.0577 eV per atom

Unit cell a=4.8259 b=4.8259 c=4.8259 alpha=90.00 beta=90.00 gamma=90.00
Space group Im-3m (No. 229)
Unique sites:
Rb (0.0000, 0.0000, 0.0000) [2 per cell]
C (0.0000, 0.0000, 0.5000) [6 per cell]

Density functional theory data (PBE) for a geometry-optimized RbC structure.

Results
- Formation energy from the elements: 2.48 eV per atom
- Energy above the lowest structure with this stoichiometry: 4.37 eV per formula unit
- Fermi-level density of states: 0.0 states/eV/cell
- VASP energy: -2.6170 eV per atom

Unit cell a=5.1642 b=5.1642 c=39.6379 alpha=90.00 beta=90.00 gamma=120.00
Space group R-3m (No. 166, hexagonal axes)
Unique sites:
Rb (0.0000, 0.0000, 0.0849) [6 per cell]
C (0.0000, 0.0000, 0.4182) [6 per cell]

Density functional theory data (PBE) for a geometry-optimized Rb2C structure.

Results
- Formation energy from the elements: 1.48 eV per atom
- Energy above the lowest structure with this stoichiometry: 0.17 eV per formula unit
- Fermi-level density of states: 1.2 states/eV/cell
- VASP energy: -2.2396 eV per atom

Unit cell a=4.6356 b=4.6356 c=6.2320 alpha=90.00 beta=90.00 gamma=90.00
Space group P4/mmm (No. 123)
Unique sites:
Rb (0.0000, 0.0000, 0.0000) [1 per cell]
Rb (0.5000, 0.5000, 0.5000) [1 per cell]
C (0.0000, 0.0000, 0.5000) [1 per cell]